# 1
# PmNd3Dy2Se6

A relaxed structure of PmNd3Dy2Se6 (PBE-GGA, Alexandria via LeMat-Bulk).

extended XYZ file:
```
12
Lattice="7.209 -0.016 -0.002 -3.617 6.236 -0.002 -1.200 -2.078 6.870" Properties=species:S:1:pos:R:3 pbc="T T T"
Pm 0.000 0.000 0.000
Nd -2.465 4.185 3.433
Nd 4.857 -0.044 3.433
Nd 1.196 2.070 3.433
Dy -0.002 4.148 -0.002
Dy 3.594 2.071 -0.002
Se 3.627 2.018 5.213
Se 2.367 4.099 1.624
Se -1.235 2.123 1.653
Se -0.065 4.150 5.213
Se 0.024 0.042 5.241
Se 2.456 -0.009 1.653
```

Computed properties:
For the density of states at the Fermi level, the calculation gives 0.470 states/eV per atom. As for the space-group type: No. 12. As for the uncorrected formation energy: -1812 meV per atom.



# 2
# Pm2Nd3DySe6

A relaxed structure of Pm2Nd3DySe6 (PBE-GGA, Alexandria via LeMat-Bulk).

extended XYZ file:
```
12
Lattice="-3.967 0.201 -6.078 4.385 -5.634 1.321 -5.265 -1.411 4.830" Properties=species:S:1:pos:R:3 pbc="T T T"
Pm 1.605 -3.692 -1.142
Pm -1.187 -1.741 -3.615
Nd 0.321 -5.340 2.468
Nd -5.168 -1.505 -2.395
Nd -2.423 -3.422 0.037
Dy 0.000 0.000 0.000
Se -5.035 -4.230 -1.143
Se -0.978 -4.455 -2.409
Se 0.189 -2.615 1.216
Se -2.314 -6.131 1.268
Se -3.869 -2.390 2.482
Se -2.533 -0.714 -1.195
```

Computed properties:
For the density of states at the Fermi level, the calculation gives 0.466 states/eV per atom. As for the space-group type: No. 12. As for the uncorrected formation energy: -1825 meV per atom.



# 3
# PmNdDy2Se4

A relaxed structure of PmNdDy2Se4 (PBE-GGA, Alexandria via LeMat-Bulk).

extended XYZ file:
```
8
Lattice="4.081 0.000 0.000 0.000 7.312 -0.227 0.000 2.492 6.672" Properties=species:S:1:pos:R:3 pbc="T T T"
Pm 0.000 4.902 3.222
Nd 2.040 3.656 -0.114
Dy 0.000 2.492 6.672
Dy 2.040 1.246 3.336
Se 0.000 7.438 4.791
Se 4.081 2.366 1.654
Se 2.040 6.192 1.473
Se 2.040 3.612 4.972
```

Computed properties:
For the density of states at the Fermi level, the calculation gives 0.537 states/eV per atom. As for the space-group type: No. 10. As for the uncorrected formation energy: -1795 meV per atom.



# 4
# Pm6NdSm2Dy3

A relaxed structure of Pm6NdSm2Dy3 (PBE-GGA, Alexandria via LeMat-Bulk).

extended XYZ file:
```
12
Lattice="6.280 -0.001 0.008 -3.139 5.440 0.008 -1.061 -1.837 11.794" Properties=species:S:1:pos:R:3 pbc="T T T"
Pm 3.131 1.793 8.823
Pm 2.090 3.619 2.996
Pm -1.050 1.810 2.987
Pm -0.012 3.608 8.823
Pm -0.010 -0.017 8.814
Pm 2.093 -0.005 2.987
Nd 0.000 0.000 0.000
Sm 0.002 3.626 0.008
Sm 3.140 1.813 0.008
Dy -2.098 3.614 5.905
Dy 4.179 -0.011 5.905
Dy 1.040 1.801 5.905
```

Computed properties:
For the density of states at the Fermi level, the calculation gives 1.339 states/eV per atom. As for the space-group type: No. 12. The value obtained for the formation energy is 0.32 kcal/mol of atoms.



# 5
# PmNd2Sm6Dy

A relaxed structure of PmNd2Sm6Dy (PBE-GGA, Alexandria via LeMat-Bulk).

extended XYZ file:
```
20
Lattice="9.394 -2.184 -2.267 0.740 8.643 -2.056 0.740 -2.375 8.561" Properties=species:S:1:pos:R:3 pbc="T T T"
Pm 3.089 1.551 3.684
Pm 7.786 2.532 0.554
Nd 5.433 4.323 3.353
Nd 0.744 1.985 0.927
Nd 5.441 -0.239 0.885
Nd 10.130 2.099 3.311
Sm 1.174 -0.842 6.017
Sm 5.003 -0.868 5.990
Sm 9.700 4.926 -1.779
Sm 5.871 4.952 -1.752
Sm 3.973 6.757 0.900
Sm 2.204 4.527 -1.414
Sm 6.901 -2.673 3.338
Sm 8.670 -0.443 5.652
Sm 2.031 4.659 2.559
Sm 4.146 2.791 0.621
Sm 8.843 -0.575 1.679
Sm 6.728 1.293 3.617
Dy 3.089 7.898 -2.432
Dy 7.786 -3.815 6.670
```

Computed properties:
For the density of states at the Fermi level, the calculation gives 1.523 states/eV per atom. As for the space-group type: No. 15. The value obtained for the formation energy is 2.72 kcal/mol of atoms.



# 6
# Pm6NdSm2Dy

A relaxed structure of Pm6NdSm2Dy (PBE-GGA, Alexandria via LeMat-Bulk).

extended XYZ file:
```
20
Lattice="-4.645 6.166 6.041 -7.192 -1.400 -5.146 1.780 -5.977 6.424" Properties=species:S:1:pos:R:3 pbc="T T T"
Pm 0.217 -4.314 4.539
Pm -2.292 -2.867 7.057
Pm -10.274 3.103 2.779
Pm -7.765 1.656 0.262
Pm -7.770 -2.023 -0.406
Pm -4.932 0.264 -1.703
Pm -2.286 0.812 7.725
Pm -5.125 -1.475 9.022
Pm -4.757 -3.201 0.257
Pm -4.887 -0.118 1.578
Pm -5.299 1.990 7.062
Pm -5.169 -1.093 5.741
Nd -8.154 0.040 -3.379
Nd -1.903 -1.251 10.698
Sm -6.635 -2.505 3.134
Sm -1.998 -1.330 0.004
Sm -3.421 1.294 4.184
Sm -8.058 0.119 7.315
Dy -3.047 -2.565 3.207
Dy -7.010 1.354 4.112
```

Computed properties:
For the density of states at the Fermi level, the calculation gives 1.449 states/eV per atom. As for the space-group type: No. 15. The value obtained for the formation energy is 2.63 kcal/mol of atoms.



# 7
# Pm2Nd4SmDy2

A relaxed structure of Pm2Nd4SmDy2 (PBE-GGA, Alexandria via LeMat-Bulk).

extended XYZ file:
```
9
Lattice="5.150 0.000 0.000 -2.575 7.724 0.003 0.000 -2.586 7.696" Properties=species:S:1:pos:R:3 pbc="T T T"
Pm 2.575 5.144 2.553
Pm 0.000 -0.005 5.146
Nd 2.575 2.561 5.152
Nd 0.000 2.577 2.547
Nd 2.575 -0.008 2.550
Nd 0.000 5.146 5.149
Sm 0.000 0.000 0.000
Dy 0.000 5.138 0.005
Dy 2.575 0.000 7.694
```

Computed properties:
For the density of states at the Fermi level, the calculation gives 1.572 states/eV per atom. As for the space-group type: No. 12. The value obtained for the formation energy is 0.37 kcal/mol of atoms.



# 8
# Pm3Nd6SmDy2

A relaxed structure of Pm3Nd6SmDy2 (PBE-GGA, Alexandria via LeMat-Bulk).

extended XYZ file:
```
12
Lattice="-2.107 2.703 -5.315 4.036 -4.860 -0.308 -9.781 -6.854 1.647" Properties=species:S:1:pos:R:3 pbc="T T T"
Pm -1.879 -7.025 -0.320
Pm -5.973 -1.985 -3.657
Pm -3.926 -4.505 -1.988
Nd -6.936 -5.511 -3.814
Nd -0.977 -3.313 -3.806
Nd -0.915 -3.500 -0.162
Nd -4.885 -8.035 -2.143
Nd -6.874 -5.697 -0.171
Nd -2.966 -0.975 -1.834
Sm 0.000 0.000 0.000
Dy 1.988 -2.338 -1.978
Dy -0.059 0.182 -3.646
```

Computed properties:
For the density of states at the Fermi level, the calculation gives 1.396 states/eV per atom. As for the space-group type: No. 12. The value obtained for the formation energy is 0.30 kcal/mol of atoms.



# 9
# Pm2Nd2Sm4Dy

A relaxed structure of Pm2Nd2Sm4Dy (PBE-GGA, Alexandria via LeMat-Bulk).

extended XYZ file:
```
9
Lattice="3.666 0.000 0.000 -1.833 9.493 -0.518 0.000 -3.733 9.016" Properties=species:S:1:pos:R:3 pbc="T T T"
Pm 1.833 5.446 2.647
Pm 0.000 0.315 5.851
Nd 0.000 6.350 -0.343
Nd 1.833 -0.590 8.841
Sm 1.833 3.489 5.688
Sm 0.000 2.272 2.810
Sm 1.833 -0.883 2.964
Sm 0.000 6.644 5.534
Dy 0.000 0.000 0.000
```

Computed properties:
For the density of states at the Fermi level, the calculation gives 1.291 states/eV per atom. As for the space-group type: No. 12. The value obtained for the formation energy is 0.21 kcal/mol of atoms.



# 10
# Pm6NdSmDy2

A relaxed structure of Pm6NdSmDy2 (PBE-GGA, Alexandria via LeMat-Bulk).

extended XYZ file:
```
20
Lattice="-4.159 7.370 4.814 -5.505 0.660 -7.014 -2.003 -6.044 6.276" Properties=species:S:1:pos:R:3 pbc="T T T"
Pm -2.372 -4.088 4.220
Pm -4.963 -1.923 5.995
Pm -9.295 6.073 -0.144
Pm -6.703 3.908 -1.919
Pm -7.597 0.361 -2.643
Pm -3.912 1.618 -2.980
Pm -4.070 1.624 6.719
Pm -7.755 0.367 7.056
Pm -5.364 -1.610 -1.304
Pm -4.982 1.362 0.095
Pm -6.303 3.595 5.379
Pm -6.685 0.624 3.981
Nd -4.469 -1.471 2.066
Nd -7.198 3.457 2.009
Sm -6.444 2.310 -5.429
Sm -5.223 -0.325 9.505
Dy -7.718 -0.384 0.975
Dy -2.214 -0.657 -0.612
Dy -3.949 2.370 3.100
Dy -9.453 2.642 4.688
```

Computed properties:
For the density of states at the Fermi level, the calculation gives 1.471 states/eV per atom. As for the space-group type: No. 15. The value obtained for the formation energy is 2.68 kcal/mol of atoms.



# 11
# Pm2NdSmDy

A relaxed structure of Pm2NdSmDy (PBE-GGA, Alexandria via LeMat-Bulk).

extended XYZ file:
```
10
Lattice="7.226 0.000 0.000 0.000 8.468 0.000 0.000 -4.234 5.883" Properties=species:S:1:pos:R:3 pbc="T T T"
Pm 3.613 2.637 0.000
Pm 0.000 5.831 0.000
Pm 3.613 5.831 0.000
Pm 0.000 2.637 0.000
Nd 1.806 4.234 2.674
Nd 5.419 0.000 3.209
Sm 1.806 4.234 5.770
Sm 5.419 0.000 0.113
Dy 5.419 4.234 2.725
Dy 1.806 0.000 3.158
```

Computed properties:
For the density of states at the Fermi level, the calculation gives 1.654 states/eV per atom. As for the space-group type: No. 63. The value obtained for the formation energy is 8.96 kcal/mol of atoms.



# 12
# Pm2NdSm6Dy3

A relaxed structure of Pm2NdSm6Dy3 (PBE-GGA, Alexandria via LeMat-Bulk).

extended XYZ file:
```
12
Lattice="-1.017 5.024 -3.600 -4.471 -2.017 3.897 6.103 5.959 8.408" Properties=species:S:1:pos:R:3 pbc="T T T"
Pm -3.319 0.331 1.397
Pm -2.168 2.677 -1.101
Nd 0.000 0.000 0.000
Sm 1.024 7.876 5.250
Sm -2.575 3.769 2.353
Sm -0.409 1.091 3.455
Sm -0.128 5.527 7.750
Sm 3.190 5.198 6.351
Sm 0.743 3.439 0.954
Dy -0.843 2.137 6.850
Dy 1.458 6.830 1.854
Dy 0.308 4.483 4.352
```

Computed properties:
For the density of states at the Fermi level, the calculation gives 1.354 states/eV per atom. As for the space-group type: No. 12. The value obtained for the formation energy is 0.34 kcal/mol of atoms.